Here is a relaxed RePSe2 crystal from the Alexandria database. Energies are from PBE-GGA.

a b c (Å): 2.931 2.931 9.436
angles (deg): 90.00 90.00 90.00
Space group P4mm (No. 99)
Asymmetric unit:
Re1 0.000 0.000 0.000
P1 0.500 0.500 0.845
Se1 0.000 0.000 0.520
Se2 0.500 0.500 0.171

VASP energy   -6.02 eV per atom
ΔE_f (raw)   0.189 eV per atom
Total magnetization   0.000 Bohr magnetons per cell